# 1
# Th4Te3Os

Th4Te3Os after structural relaxation (PBE-GGA, the Alexandria database).

Structure (extended XYZ):
```
8
Lattice="4.633 -6.336 0.000 4.633 6.336 0.000 0.000 0.000 4.251" Properties=species:S:1:pos:R:3 pbc="T T T"
Th 1.914 0.000 2.125
Th 4.633 3.443 0.000
Th 4.633 -3.443 0.000
Th 7.351 0.000 2.125
Te 2.316 3.168 2.125
Te 2.316 -3.168 2.125
Te 4.633 0.000 0.000
Os 0.000 0.000 0.000
```

Results
Density of states at the Fermi level   0.8333 states/eV/atom
VASP energy   -0.532 Ry/atom


# 2
# YThTeOs

YThTeOs after structural relaxation (PBE-GGA, the Alexandria database).

Structure (extended XYZ):
```
4
Lattice="2.105 1.215 7.329 -2.105 1.215 7.329 0.000 -2.431 7.329" Properties=species:S:1:pos:R:3 pbc="T T T"
Y 0.000 0.000 0.000
Th 0.000 0.000 17.616
Te 0.000 0.000 5.276
Os 0.000 0.000 8.863
```

Results
Density of states at the Fermi level   0.7901 states/eV/atom
VASP energy   -0.571 Ry/atom


# 3
# TiTe2Os2

TiTe2Os2 after structural relaxation (PBE-GGA, the Alexandria database).

Structure (extended XYZ):
```
5
Lattice="-2.131 2.131 5.790 2.131 -2.131 5.790 2.131 2.131 -5.790" Properties=species:S:1:pos:R:3 pbc="T T T"
Ti 0.000 0.000 0.000
Te 2.131 0.000 2.895
Te 0.000 2.131 2.895
Os 0.000 0.000 4.597
Os 0.000 0.000 6.984
```

Results
E above lowest polymorph   297 meV per atom
Density of states at the Fermi level   1.0440 states/eV/atom
VASP energy   -0.485 Ry/atom


# 4
# Ti2Te6Os

Ti2Te6Os after structural relaxation (PBE-GGA, the Alexandria database).

Structure (extended XYZ):
```
18
Lattice="7.029 0.000 0.000 0.000 6.836 0.000 -6.863 0.000 9.237" Properties=species:S:1:pos:R:3 pbc="T T T"
Ti -0.167 1.116 2.266
Ti -3.598 2.302 6.884
Ti 3.765 4.534 2.353
Ti 0.334 5.720 6.971
Te -5.676 1.131 8.494
Te -2.244 2.288 3.875
Te -4.492 4.517 8.544
Te -1.060 5.738 3.925
Te 1.228 3.436 2.391
Te -2.204 6.819 7.009
Te 2.370 0.017 2.228
Te -1.061 3.401 6.846
Te 1.227 1.098 5.312
Te 4.658 2.320 0.693
Te 2.411 4.549 5.362
Te 5.842 5.706 0.743
Os -3.431 0.000 4.618
Os 0.000 3.418 0.000
```

Results
Density of states at the Fermi level   0.4132 states/eV/atom
VASP energy   -0.396 Ry/atom


# 5
# TiTe2Os2

TiTe2Os2 after structural relaxation (PBE-GGA, the Alexandria database).

Structure (extended XYZ):
```
10
Lattice="6.946 0.000 0.000 0.000 6.946 0.000 0.000 0.000 3.974" Properties=species:S:1:pos:R:3 pbc="T T T"
Ti 0.000 0.000 0.000
Ti 3.473 3.473 0.000
Te 1.250 2.223 1.987
Te 2.223 5.696 1.987
Te 4.723 1.250 1.987
Te 5.696 4.723 1.987
Os 0.904 4.377 0.000
Os 2.569 0.904 0.000
Os 4.377 6.042 0.000
Os 6.042 2.569 0.000
```

Results
E above lowest polymorph   0 meV per atom
Density of states at the Fermi level   0.7449 states/eV/atom
VASP energy   -0.507 Ry/atom


# 6
# TiTeOs2

TiTeOs2 after structural relaxation (PBE-GGA, the Alexandria database).

Structure (extended XYZ):
```
8
Lattice="-2.056 2.056 8.729 2.056 -2.056 8.729 2.056 2.056 -8.729" Properties=species:S:1:pos:R:3 pbc="T T T"
Ti 0.000 0.000 0.000
Ti 0.000 2.056 4.365
Te 2.056 0.000 4.365
Te 0.000 0.000 8.729
Os 3.084 0.863 -2.182
Os 0.863 1.028 2.182
Os -1.028 1.193 6.547
Os 1.193 1.028 10.912
```

Results
Density of states at the Fermi level   1.1582 states/eV/atom
VASP energy   -0.574 Ry/atom


# 7
# TiTe2Os

TiTe2Os after structural relaxation (PBE-GGA, the Alexandria database).

Structure (extended XYZ):
```
8
Lattice="-3.059 3.059 5.987 3.059 -3.059 5.987 3.059 3.059 -5.987" Properties=species:S:1:pos:R:3 pbc="T T T"
Ti 0.000 0.000 0.000
Ti 0.000 3.059 2.993
Te 1.530 -1.411 4.490
Te 1.648 1.530 1.497
Te 1.530 4.471 -1.497
Te 1.411 1.530 7.483
Os 3.059 0.000 2.993
Os 0.000 0.000 5.987
```

Results
E above lowest polymorph   159 meV per atom
Density of states at the Fermi level   1.1831 states/eV/atom
VASP energy   -0.436 Ry/atom


# 8
# TiTeOs3

TiTeOs3 after structural relaxation (PBE-GGA, the Alexandria database).

Structure (extended XYZ):
```
5
Lattice="4.755 0.000 0.000 0.000 4.755 0.000 0.000 0.000 4.755" Properties=species:S:1:pos:R:3 pbc="T T T"
Ti 0.000 0.000 0.000
Te 2.378 2.378 2.378
Os 0.000 2.378 2.378
Os 2.378 0.000 2.378
Os 2.378 2.378 0.000
```

Results
E above lowest polymorph   418 meV per atom
Density of states at the Fermi level   1.7921 states/eV/atom
VASP energy   -0.498 Ry/atom


# 9
# Ti2TeOs2

Ti2TeOs2 after structural relaxation (PBE-GGA, the Alexandria database).

Structure (extended XYZ):
```
5
Lattice="-2.090 2.090 5.425 2.090 -2.090 5.425 2.090 2.090 -5.425" Properties=species:S:1:pos:R:3 pbc="T T T"
Ti 2.090 0.000 2.713
Ti 0.000 2.090 2.713
Te 0.000 0.000 0.000
Os 0.000 0.000 4.150
Os 0.000 0.000 6.701
```

Results
E above lowest polymorph   169 meV per atom
Density of states at the Fermi level   0.5826 states/eV/atom
VASP energy   -0.603 Ry/atom


# 10
# TiTe3Os

TiTe3Os after structural relaxation (PBE-GGA, the Alexandria database).

Structure (extended XYZ):
```
5
Lattice="5.187 0.000 0.000 0.000 5.187 0.000 0.000 0.000 5.187" Properties=species:S:1:pos:R:3 pbc="T T T"
Ti 0.000 0.000 0.000
Te 0.000 2.594 2.594
Te 2.594 0.000 2.594
Te 2.594 2.594 0.000
Os 2.594 2.594 2.594
```

Results
E above lowest polymorph   0 meV per atom
Density of states at the Fermi level   1.6204 states/eV/atom
VASP energy   -0.352 Ry/atom


# 11
# TiTe2Os

TiTe2Os after structural relaxation (PBE-GGA, the Alexandria database).

Structure (extended XYZ):
```
4
Lattice="0.000 3.356 3.356 3.356 0.000 3.356 3.356 3.356 0.000" Properties=species:S:1:pos:R:3 pbc="T T T"
Ti 0.000 0.000 0.000
Te 1.678 1.678 1.678
Te 5.034 5.034 5.034
Os 3.356 3.356 3.356
```

Results
E above lowest polymorph   0 meV per atom
Density of states at the Fermi level   1.6066 states/eV/atom
VASP energy   -0.448 Ry/atom


# 12
# Ti2TeOs2

Ti2TeOs2 after structural relaxation (PBE-GGA, the Alexandria database).

Structure (extended XYZ):
```
10
Lattice="7.509 0.000 0.000 0.000 7.509 0.000 0.000 0.000 3.046" Properties=species:S:1:pos:R:3 pbc="T T T"
Ti 1.126 2.629 0.000
Ti 2.629 6.383 0.000
Ti 4.880 1.126 0.000
Ti 6.383 4.880 0.000
Te 0.000 0.000 1.523
Te 3.755 3.755 1.523
Os 1.028 4.783 1.523
Os 2.726 1.028 1.523
Os 4.783 6.481 1.523
Os 6.481 2.726 1.523
```

Results
E above lowest polymorph   0 meV per atom
Density of states at the Fermi level   0.8672 states/eV/atom
VASP energy   -0.616 Ry/atom


# 13
# TiTeOs3

TiTeOs3 after structural relaxation (PBE-GGA, the Alexandria database).

Structure (extended XYZ):
```
5
Lattice="4.610 0.000 0.000 0.000 4.610 0.000 0.000 0.000 4.610" Properties=species:S:1:pos:R:3 pbc="T T T"
Ti 0.000 0.000 0.000
Te 2.305 2.305 2.305
Os 0.000 0.000 2.305
Os 0.000 2.305 0.000
Os 2.305 0.000 0.000
```

Results
E above lowest polymorph   0 meV per atom
Density of states at the Fermi level   0.6777 states/eV/atom
VASP energy   -0.528 Ry/atom


# 14
# TiTe2Os

TiTe2Os after structural relaxation (PBE-GGA, the Alexandria database).

Structure (extended XYZ):
```
4
Lattice="1.644 0.949 8.992 -1.644 0.949 8.992 0.000 -1.898 8.992" Properties=species:S:1:pos:R:3 pbc="T T T"
Ti 0.000 0.000 0.000
Te 0.000 0.000 10.956
Te 0.000 0.000 16.020
Os 0.000 0.000 13.488
```

Results
E above lowest polymorph   129 meV per atom
Density of states at the Fermi level   0.6532 states/eV/atom
VASP energy   -0.438 Ry/atom


# 15
# YTiTeOs2

YTiTeOs2 after structural relaxation (PBE-GGA, the Alexandria database).

Structure (extended XYZ):
```
5
Lattice="4.824 0.000 0.000 0.000 4.824 0.000 0.000 0.000 5.324" Properties=species:S:1:pos:R:3 pbc="T T T"
Y 0.000 0.000 0.000
Ti 2.412 2.412 0.000
Te 0.000 0.000 2.662
Os 0.000 2.412 2.662
Os 2.412 0.000 2.662
```

Results
Density of states at the Fermi level   1.4335 states/eV/atom
VASP energy   -0.472 Ry/atom


# 16
# TiZnTeOs2

TiZnTeOs2 after structural relaxation (PBE-GGA, the Alexandria database).

Structure (extended XYZ):
```
5
Lattice="4.822 0.000 0.000 0.000 4.822 0.000 0.000 0.000 4.883" Properties=species:S:1:pos:R:3 pbc="T T T"
Ti 0.000 0.000 0.000
Zn 2.411 2.411 0.000
Te 0.000 0.000 2.441
Os 0.000 2.411 2.441
Os 2.411 0.000 2.441
```

Results
Density of states at the Fermi level   1.0570 states/eV/atom
VASP energy   -0.381 Ry/atom


# 17
# ZrTiTe2Os

ZrTiTe2Os after structural relaxation (PBE-GGA, the Alexandria database).

Structure (extended XYZ):
```
5
Lattice="5.250 0.000 0.000 0.000 5.250 0.000 0.000 0.000 4.573" Properties=species:S:1:pos:R:3 pbc="T T T"
Zr 0.000 0.000 0.000
Ti 2.625 2.625 0.000
Te 0.000 2.625 2.286
Te 2.625 0.000 2.286
Os 2.625 2.625 2.286
```

Results
Density of states at the Fermi level   1.0016 states/eV/atom
VASP energy   -0.453 Ry/atom


# 18
# Tl2TeOs

Tl2TeOs after structural relaxation (PBE-GGA, the Alexandria database).

Structure (extended XYZ):
```
4
Lattice="3.263 0.000 0.000 0.000 5.803 0.000 -0.221 0.000 5.314" Properties=species:S:1:pos:R:3 pbc="T T T"
Tl 0.695 0.000 1.371
Tl 2.347 0.000 3.943
Te 1.632 2.901 0.000
Os 1.521 2.901 2.657
```

Results
E above lowest polymorph   486 meV per atom
Density of states at the Fermi level   0.8859 states/eV/atom
VASP energy   -0.287 Ry/atom


# 19
# Tl2TeOs

Tl2TeOs after structural relaxation (PBE-GGA, the Alexandria database).

Structure (extended XYZ):
```
4
Lattice="-2.106 2.106 5.498 2.106 -2.106 5.498 2.106 2.106 -5.498" Properties=species:S:1:pos:R:3 pbc="T T T"
Tl 2.106 0.000 2.749
Tl 0.000 2.106 2.749
Te 0.000 0.000 0.000
Os 0.000 0.000 5.498
```

Results
E above lowest polymorph   556 meV per atom
Density of states at the Fermi level   1.1348 states/eV/atom
VASP energy   -0.282 Ry/atom


# 20
# TlTeOs2

TlTeOs2 after structural relaxation (PBE-GGA, the Alexandria database).

Structure (extended XYZ):
```
4
Lattice="-2.139 2.139 4.090 2.139 -2.139 4.090 2.139 2.139 -4.090" Properties=species:S:1:pos:R:3 pbc="T T T"
Tl 0.000 0.000 0.000
Te 0.000 2.139 2.045
Os 2.139 0.000 2.045
Os 0.000 0.000 4.090
```

Results
E above lowest polymorph   739 meV per atom
Density of states at the Fermi level   1.3699 states/eV/atom
VASP energy   -0.421 Ry/atom


# 21
# TlTeOs3

TlTeOs3 after structural relaxation (PBE-GGA, the Alexandria database).

Structure (extended XYZ):
```
5
Lattice="4.863 0.000 0.000 0.000 4.863 0.000 0.000 0.000 4.863" Properties=species:S:1:pos:R:3 pbc="T T T"
Tl 0.000 0.000 0.000
Te 2.431 2.431 2.431
Os 0.000 2.431 2.431
Os 2.431 0.000 2.431
Os 2.431 2.431 0.000
```

Results
E above lowest polymorph   0 meV per atom
Density of states at the Fermi level   1.6571 states/eV/atom
VASP energy   -0.406 Ry/atom


# 22
# Tl2TeOs

Tl2TeOs after structural relaxation (PBE-GGA, the Alexandria database).

Structure (extended XYZ):
```
4
Lattice="-2.531 2.531 3.611 2.531 -2.531 3.611 2.531 2.531 -3.611" Properties=species:S:1:pos:R:3 pbc="T T T"
Tl 0.000 0.000 0.000
Tl 0.000 2.531 1.806
Te 0.000 0.000 3.611
Os 2.531 0.000 1.806
```

Results
E above lowest polymorph   521 meV per atom
Density of states at the Fermi level   1.0790 states/eV/atom
VASP energy   -0.284 Ry/atom


# 23
# Tl2TeOs

Tl2TeOs after structural relaxation (PBE-GGA, the Alexandria database).

Structure (extended XYZ):
```
4
Lattice="3.221 0.000 0.000 0.000 3.221 0.000 0.000 0.000 10.273" Properties=species:S:1:pos:R:3 pbc="T T T"
Tl 0.000 0.000 0.000
Tl 1.610 1.610 3.053
Te 1.610 1.610 6.757
Os 0.000 0.000 5.354
```

Results
E above lowest polymorph   0 meV per atom
Density of states at the Fermi level   0.5437 states/eV/atom
VASP energy   -0.322 Ry/atom


# 24
# TlTeOs2

TlTeOs2 after structural relaxation (PBE-GGA, the Alexandria database).

Structure (extended XYZ):
```
4
Lattice="1.542 -2.661 0.000 1.542 2.661 0.000 0.000 0.000 9.203" Properties=species:S:1:pos:R:3 pbc="T T T"
Tl 0.000 0.000 0.000
Te 0.000 0.000 4.602
Os 1.542 0.000 2.355
Os 1.542 0.000 6.848
```

Results
E above lowest polymorph   723 meV per atom
Density of states at the Fermi level   1.1181 states/eV/atom
VASP energy   -0.422 Ry/atom


# 25
# Tl2TeOs

Tl2TeOs after structural relaxation (PBE-GGA, the Alexandria database).

Structure (extended XYZ):
```
8
Lattice="-3.224 3.224 6.801 3.224 -3.224 6.801 3.224 3.224 -6.801" Properties=species:S:1:pos:R:3 pbc="T T T"
Tl 4.836 1.238 -1.700
Tl 1.238 1.612 1.700
Tl -1.612 1.986 5.101
Tl 1.986 1.612 8.501
Te 3.224 0.000 3.400
Te 0.000 0.000 6.801
Os 0.000 0.000 0.000
Os 0.000 3.224 3.400
```

Results
E above lowest polymorph   661 meV per atom
Density of states at the Fermi level   0.0000 states/eV/atom
VASP energy   -0.274 Ry/atom


# 26
# Tl3TeOs

Tl3TeOs after structural relaxation (PBE-GGA, the Alexandria database).

Structure (extended XYZ):
```
5
Lattice="5.340 0.000 0.000 0.000 5.340 0.000 0.000 0.000 5.340" Properties=species:S:1:pos:R:3 pbc="T T T"
Tl 0.000 0.000 2.670
Tl 0.000 2.670 0.000
Tl 2.670 0.000 0.000
Te 2.670 2.670 2.670
Os 0.000 0.000 0.000
```

Results
E above lowest polymorph   0 meV per atom
Density of states at the Fermi level   0.8705 states/eV/atom
VASP energy   -0.280 Ry/atom


# 27
# TlTeOs2

TlTeOs2 after structural relaxation (PBE-GGA, the Alexandria database).

Structure (extended XYZ):
```
4
Lattice="3.211 0.000 0.000 0.000 3.211 0.000 0.000 0.000 7.072" Properties=species:S:1:pos:R:3 pbc="T T T"
Tl 0.000 0.000 0.000
Te 0.000 0.000 3.536
Os 1.606 1.606 1.966
Os 1.606 1.606 5.106
```

Results
E above lowest polymorph   473 meV per atom
Density of states at the Fermi level   0.5346 states/eV/atom
VASP energy   -0.440 Ry/atom


# 28
# TlTeOs2

TlTeOs2 after structural relaxation (PBE-GGA, the Alexandria database).

Structure (extended XYZ):
```
4
Lattice="2.874 0.000 0.000 0.000 3.605 0.000 -0.006 0.000 8.389" Properties=species:S:1:pos:R:3 pbc="T T T"
Tl 0.000 0.000 0.000
Te 0.006 1.802 5.390
Os 0.005 0.000 3.310
Os 1.442 1.802 2.129
```

Results
E above lowest polymorph   0 meV per atom
Density of states at the Fermi level   0.5548 states/eV/atom
VASP energy   -0.475 Ry/atom